# 1
{"formula": "Hf4GaRu2", "functional": "GGA-PBE", "state": "relaxed", "volume_a3_per_atom": 22.1, "space_group": "I4/mmm (139)", "ef_ev_per_atom": 0.451, "m_tot_mub_per_cell": 0.0, "cell": [[-3.237, 0.272, -3.629], [-3.218, -2.481, 2.685], [-5.499, 4.489, 1.973]], "species": ["Ru", "Ru", "Hf", "Hf", "Hf", "Hf", "Ga"], "fractional_positions": [[0.612, 0.612, 0.776], [0.388, 0.388, 0.224], [0.800, 0.800, 0.400], [0.200, 0.200, 0.600], [0.000, 0.500, 0.000], [0.500, 0.000, 0.000], [0.000, 0.000, 0.000]]}

***

# 2
{"formula": "Hf4Ga5Ru", "functional": "GGA-PBE", "state": "relaxed", "volume_a3_per_atom": 18.7, "space_group": "I4 (79)", "ef_ev_per_atom": -0.291, "m_tot_mub_per_cell": 0.0, "cell": [[5.639, 0.000, 0.000], [2.820, 5.755, 0.000], [2.820, 0.000, 5.755]], "species": ["Hf", "Hf", "Hf", "Hf", "Ga", "Ga", "Ga", "Ga", "Ga", "Ru"], "fractional_positions": [[0.377, 0.365, 0.761], [0.742, 0.761, 0.635], [0.139, 0.239, 0.365], [0.504, 0.635, 0.239], [0.862, 0.331, 0.850], [0.193, 0.850, 0.669], [0.712, 0.150, 0.331], [0.043, 0.669, 0.150], [0.689, 0.000, 0.000], [0.249, 0.000, 0.000]]}

***

# 3
{"formula": "Hf2GaRu2", "functional": "GGA-PBE", "state": "relaxed", "volume_a3_per_atom": 17.8, "space_group": "P4/mbm (127)", "ef_ev_per_atom": -0.392, "m_tot_mub_per_cell": 0.0, "cell": [[7.379, 0.000, 0.000], [0.000, 7.379, 0.000], [0.000, 0.000, 3.270]], "species": ["Ru", "Ru", "Ru", "Ru", "Hf", "Hf", "Hf", "Hf", "Ga", "Ga"], "fractional_positions": [[0.358, 0.858, 0.000], [0.858, 0.642, 0.000], [0.642, 0.142, 0.000], [0.142, 0.358, 0.000], [0.160, 0.660, 0.500], [0.660, 0.840, 0.500], [0.840, 0.340, 0.500], [0.340, 0.160, 0.500], [0.000, 0.000, 0.000], [0.500, 0.500, 0.000]]}

***

# 4
{"formula": "HfGa2Ru2", "functional": "GGA-PBE", "state": "relaxed", "volume_a3_per_atom": 16.4, "space_group": "I4/mmm (139)", "ef_ev_per_atom": -0.323, "m_tot_mub_per_cell": 0.0, "cell": [[3.492, 0.000, 0.000], [0.000, 3.492, 0.000], [1.746, 1.746, 6.731]], "species": ["Ru", "Ru", "Hf", "Ga", "Ga"], "fractional_positions": [[0.393, 0.393, 0.214], [0.607, 0.607, 0.786], [0.000, 0.000, 0.000], [0.750, 0.250, 0.500], [0.250, 0.750, 0.500]]}